(1)
DFT (PBE) results for Mg2TaAu after structural relaxation.

POSCAR file:
```
Mg2TaAu
1.0
2.915 0.000 0.000
0.000 4.552 0.000
-1.158 0.000 5.610
Mg Ta Au
2 1 1
Cartesian
0.183 0.000 1.419
1.574 0.000 4.191
1.458 2.276 0.000
-0.579 2.276 2.805
```

## Properties
- calculated formation energy (meV/atom) = 89
- energy relative to the lowest polymorph listed for this composition (eV/atom) = 0.1898



(2)
DFT (PBE) results for Pr2CBr2 after structural relaxation.

POSCAR file:
```
Pr2CBr2
1.0
10.022 0.000 0.000
0.000 7.784 0.000
-0.792 0.000 7.356
Pr C Br
8 4 8
Cartesian
0.279 1.074 2.415
-0.117 2.819 6.093
3.030 3.970 1.794
2.634 7.706 5.472
6.597 0.078 1.884
6.201 3.814 5.562
9.347 4.966 1.263
8.951 6.711 4.941
0.665 0.741 4.798
1.061 3.151 1.120
8.169 4.633 6.236
8.565 7.043 2.558
1.574 4.906 4.548
1.970 6.770 0.870
4.202 1.761 3.561
3.806 2.131 7.239
5.425 5.654 0.117
5.028 6.023 3.795
7.260 1.014 6.486
7.656 2.878 2.808
```

## Properties
- energy relative to the elements, uncorrected (kJ/mol of atoms) = -97.9



(3)
DFT (PBE) results for Sr2NiHg after structural relaxation.

POSCAR file:
```
Sr2NiHg
1.0
3.805 0.000 0.000
0.000 3.805 0.000
0.000 0.000 7.768
Sr Ni Hg
2 1 1
Cartesian
0.000 0.000 1.765
0.000 0.000 6.003
1.902 1.902 0.000
1.902 1.902 3.884
```

## Properties
- calculated formation energy (meV/atom) = -156



(4)
DFT (PBE) results for KScZnSe3 after structural relaxation.

POSCAR file:
```
KScZnSe3
1.0
8.866 0.000 0.000
0.000 4.000 0.000
-3.309 0.000 9.191
K Sc Zn Se
2 2 2 6
Cartesian
1.096 1.000 2.191
4.460 3.000 7.001
0.085 3.000 7.956
5.471 1.000 1.235
-1.259 1.000 5.589
6.816 3.000 3.602
-1.816 1.000 7.949
0.126 3.000 4.996
3.630 3.000 1.415
1.926 1.000 7.776
5.430 1.000 4.196
7.372 3.000 1.243
```

## Properties
- energy relative to the elements, uncorrected (kJ/mol of atoms) = -125.9



(5)
DFT (PBE) results for MgNb2HPd after structural relaxation.

POSCAR file:
```
MgNb2HPd
1.0
3.949 0.000 0.000
0.000 3.949 0.000
0.000 0.000 4.659
Mg Nb H Pd
1 2 1 1
Cartesian
0.000 0.000 0.000
0.000 1.974 2.329
1.974 0.000 2.329
0.000 0.000 2.329
1.974 1.974 0.000
```

## Properties
- energy relative to the lowest polymorph listed for this composition (eV/atom) = 0.0000



(6)
DFT (PBE) results for K4SrHg after structural relaxation.

POSCAR file:
```
K4SrHg
1.0
0.000 5.712 5.712
5.712 0.000 5.712
5.712 5.712 0.000
K Sr Hg
4 1 1
Cartesian
1.426 1.426 1.426
4.286 4.286 1.426
4.286 1.426 4.286
1.426 4.286 4.286
5.712 5.712 5.712
8.568 8.568 8.568
```

## Properties
- calculated formation energy (meV/atom) = 153



Number 1: calculated density 9.52 g cm⁻³, E -4.491 eV/atom. Number 2: calculated density 5.25 g cm⁻³, E -5.440 eV/atom. Number 3: calculated density 6.42 g cm⁻³, E -2.518 eV/atom. Number 4: calculated density 3.94 g cm⁻³, E -4.498 eV/atom. Number 5: calculated density 7.26 g cm⁻³, E -6.191 eV/atom. Number 6: calculated density 1.98 g cm⁻³, E -0.910 eV/atom.